## i
! PBE SmPuU, optimized geometry; values from VASP
&SYSTEM
  ibrav = 0, nat = 6, ntyp = 3
/
ATOMIC_SPECIES
U 238.03 U.upf
Pu 244.00 Pu.upf
Sm 150.36 Sm.upf
ATOMIC_POSITIONS crystal
U 0.756 0.250 0.511
U 0.244 0.750 0.489
Pu 0.641 0.750 0.282
Pu 0.359 0.250 0.718
Sm 0.930 0.750 0.860
Sm 0.070 0.250 0.140
CELL_PARAMETERS angstrom
-2.616 1.733 2.007
-2.545 -4.400 0.482
5.471 -2.523 5.853
! Calculated volume (Å³/atom): 25.96
! ρ (Mg/m³): 13.482
! Total moment (μB/f.u.): 3.90



## ii
! PBE SmPuU, optimized geometry; values from VASP
&SYSTEM
  ibrav = 0, nat = 3, ntyp = 3
/
ATOMIC_SPECIES
U 238.03 U.upf
Sm 150.36 Sm.upf
Pu 244.00 Pu.upf
ATOMIC_POSITIONS crystal
U 0.714 0.714 0.427
Sm 0.998 0.998 0.996
Pu 0.289 0.289 0.577
CELL_PARAMETERS angstrom
-0.057 -3.113 1.571
3.476 0.069 0.263
-2.182 4.309 4.586
! Calculated volume (Å³/atom): 25.08
! ρ (Mg/m³): 13.958
! Total moment (μB/f.u.): 3.87



Which of them is the most stable, and which is the least stable? i and ii, in that order.